Tc2HOsAu PBE relaxed; DOS(E_F) = 4.59 states/eV/cell; total DFT energy (no corrections) = -31.21 eV/cell; magnetization = 0.0 μB per formula unit
1.0
5.0011 0.0000 0.0000
0.0000 5.0011 0.0000
0.0000 0.0000 2.9814
Tc H Os Au
2 1 1 1
Cartesian
0.0000 2.5005 0.0000
2.5005 0.0000 0.0000
0.0000 0.0000 1.4907
2.5005 2.5005 1.4907
0.0000 0.0000 0.0000